Compound: AlIrBr
Source: Alexandria
Functional: GGA-PBE
Structure: relaxed

Cell lengths 4.342, 4.342, 4.342 Å; angles 60.00, 60.00, 60.00 degrees
Element x y z (fractional)
Al 0.000 0.000 0.000
Ir 0.750 0.750 0.750
Br 0.500 0.500 0.500

Summary:
Excess energy over the best structure of this formula in the dataset in meV per atom: 382.3

Compound: AlIrBr2
Source: Alexandria
Functional: GGA-PBE
Structure: relaxed

Cell lengths 6.521, 6.521, 6.521 Å; angles 152.29, 99.08, 87.53 degrees
Element x y z (fractional)
Al 0.000 0.000 0.000
Ir 0.207 0.707 0.500
Br 0.404 0.404 0.000
Br 0.797 0.297 0.500

Summary:
Excess energy over the best structure of this formula in the dataset in meV per atom: 380.0

Compound: AlIr2Br
Source: Alexandria
Functional: GGA-PBE
Structure: relaxed

Cell lengths 8.692, 8.692, 8.692 Å; angles 152.47, 152.47, 39.33 degrees
Element x y z (fractional)
Al 0.000 0.000 0.000
Al 0.750 0.250 0.500
Ir 0.122 0.625 0.997
Ir 0.375 0.372 0.497
Ir 0.628 0.125 0.003
Ir 0.875 0.878 0.503
Br 0.250 0.750 0.500
Br 0.500 0.500 0.000

Summary:
Excess energy over the best structure of this formula in the dataset in meV per atom: 432.5

Compound: AlIr2Br
Source: Alexandria
Functional: GGA-PBE
Structure: relaxed

Cell lengths 5.358, 5.358, 4.379 Å; angles 99.52, 99.52, 31.75 degrees
Element x y z (fractional)
Al 0.000 0.000 0.000
Ir 0.432 0.432 0.451
Ir 0.693 0.693 0.312
Br 0.239 0.239 0.807

Summary:
Excess energy over the best structure of this formula in the dataset in meV per atom: 304.9

Compound: AlIr2Br
Source: Alexandria
Functional: GGA-PBE
Structure: relaxed

Cell lengths 2.879, 4.419, 5.062 Å; angles 90.00, 90.00, 90.00 degrees
Element x y z (fractional)
Al 0.000 0.000 0.000
Ir 0.000 0.500 0.500
Ir 0.500 0.500 0.000
Br 0.500 0.000 0.500

Summary:
Excess energy over the best structure of this formula in the dataset in meV per atom: 330.6

Compound: AlIrBr2
Source: Alexandria
Functional: GGA-PBE
Structure: relaxed

Cell lengths 4.937, 4.937, 3.233 Å; angles 90.00, 90.00, 90.00 degrees
Element x y z (fractional)
Al 0.000 0.000 0.000
Ir 0.500 0.500 0.000
Br 0.000 0.500 0.500
Br 0.500 0.000 0.500

Summary:
Excess energy over the best structure of this formula in the dataset in meV per atom: 1088.3

Compound: AlIrBr
Source: Alexandria
Functional: GGA-PBE
Structure: relaxed

Cell lengths 4.353, 4.353, 4.353 Å; angles 60.00, 60.00, 60.00 degrees
Element x y z (fractional)
Al 0.000 0.000 0.000
Ir 0.750 0.750 0.750
Br 0.250 0.250 0.250

Summary:
Excess energy over the best structure of this formula in the dataset in meV per atom: 759.6

Compound: AlIrBr2
Source: Alexandria
Functional: GGA-PBE
Structure: relaxed

Cell lengths 3.496, 3.496, 9.029 Å; angles 90.00, 90.00, 120.05 degrees
Element x y z (fractional)
Al 0.000 0.000 0.000
Ir 0.000 0.000 0.500
Br 0.500 0.500 0.303
Br 0.500 0.500 0.697

Summary:
Excess energy over the best structure of this formula in the dataset in meV per atom: 871.3

Compound: AlIrBr
Source: Alexandria
Functional: GGA-PBE
Structure: relaxed

Cell lengths 6.794, 6.794, 6.794 Å; angles 154.27, 153.83, 37.03 degrees
Element x y z (fractional)
Al 0.000 0.000 0.000
Ir 0.596 0.596 0.000
Br 0.809 0.809 0.000

Summary:
Excess energy over the best structure of this formula in the dataset in meV per atom: 0.0

Compound: AlIr2Br
Source: Alexandria
Functional: GGA-PBE
Structure: relaxed

Cell lengths 4.632, 4.632, 2.967 Å; angles 90.00, 90.00, 100.64 degrees
Element x y z (fractional)
Al 0.000 0.000 0.000
Ir 0.000 0.500 0.500
Ir 0.500 0.000 0.500
Br 0.500 0.500 0.000

Summary:
Excess energy over the best structure of this formula in the dataset in meV per atom: 426.0

Compound: AlIrBr4
Source: Alexandria
Functional: GGA-PBE
Structure: relaxed

Cell lengths 6.213, 6.213, 6.213 Å; angles 60.00, 60.00, 60.00 degrees
Element x y z (fractional)
Al 0.000 0.000 0.000
Ir 0.250 0.250 0.250
Br 0.131 0.623 0.623
Br 0.623 0.131 0.623
Br 0.623 0.623 0.131
Br 0.623 0.623 0.623

Summary:
Total energy in Ry/atom: -0.1374

Compound: Al4IrBr
Source: Alexandria
Functional: GGA-PBE
Structure: relaxed

Cell lengths 5.280, 5.280, 5.280 Å; angles 60.00, 60.00, 60.00 degrees
Element x y z (fractional)
Al 0.376 0.376 0.376
Al 0.376 0.376 0.872
Al 0.376 0.872 0.376
Al 0.872 0.376 0.376
Ir 0.750 0.750 0.750
Br 0.000 0.000 0.000

Summary:
Total energy in Ry/atom: -0.2854

no.,density (g/cm³),total magnetic moment (μB per cell)
1,8.58,0.00
2,5.06,0.00
3,11.65,0.00
4,12.52,0.00
5,12.67,0.00
6,7.99,0.00
7,8.51,0.00
8,6.59,0.00
9,8.28,0.00
10,13.04,0.00
11,5.28,2.25
12,6.06,0.00